(1)
# AlPt (meta-GGA SCAN, single point on PBEsol structure)
# Magnetic moment = 0.0 μB per formula unit
# ΔE_f = -0.593 eV per atom
data_AlPt
_chemical_formula_sum 'Al6 Pt6'
_cell_length_a 2.8755
_cell_length_b 2.8755
_cell_length_c 25.1759
_cell_angle_alpha 90.00
_cell_angle_beta 90.00
_cell_angle_gamma 120.00
_symmetry_space_group_name_H-M 'R -3 m'
_symmetry_Int_Tables_number 166
_symmetry_space_group_name_Hall '-R 3 2"'
loop_
_atom_site_label
_atom_site_type_symbol
_atom_site_fract_x
_atom_site_fract_y
_atom_site_fract_z
_atom_site_occupancy
Al1 Al 0.0000 0.0000 0.1227 1
Pt1 Pt 0.0000 0.0000 0.3804 1

(2)
# Al2Pt (meta-GGA SCAN, single point on PBEsol structure)
# Magnetic moment = 0.0 μB per formula unit
# ΔE_f = -1.154 eV per atom
data_Al2Pt
_chemical_formula_sum 'Al8 Pt4'
_cell_length_a 5.8913
_cell_length_b 5.8913
_cell_length_c 5.8913
_cell_angle_alpha 90.00
_cell_angle_beta 90.00
_cell_angle_gamma 90.00
_symmetry_space_group_name_H-M 'F m -3 m'
_symmetry_Int_Tables_number 225
_symmetry_space_group_name_Hall '-F 4 2 3'
loop_
_atom_site_label
_atom_site_type_symbol
_atom_site_fract_x
_atom_site_fract_y
_atom_site_fract_z
_atom_site_occupancy
Al1 Al 0.2500 0.2500 0.2500 1
Pt1 Pt 0.0000 0.0000 0.0000 1

(3)
# Al4Pt (meta-GGA SCAN, single point on PBEsol structure)
# Magnetic moment = 0.0 μB per formula unit
# ΔE_f = -0.335 eV per atom
data_Al4Pt
_chemical_formula_sum 'Al8 Pt2'
_cell_length_a 5.7623
_cell_length_b 5.7623
_cell_length_c 5.7623
_cell_angle_alpha 90.00
_cell_angle_beta 90.00
_cell_angle_gamma 90.00
_symmetry_space_group_name_H-M 'I m -3 m'
_symmetry_Int_Tables_number 229
_symmetry_space_group_name_Hall '-I 4 2 3'
loop_
_atom_site_label
_atom_site_type_symbol
_atom_site_fract_x
_atom_site_fract_y
_atom_site_fract_z
_atom_site_occupancy
Al1 Al 0.2500 0.2500 0.2500 1
Pt1 Pt 0.0000 0.0000 0.0000 1

(4)
# RbZr2AlPt (meta-GGA SCAN, single point on PBEsol structure)
# Magnetic moment = 0.0 μB per formula unit
# ΔE_f = 1.979 eV per atom
data_RbZr2AlPt
_chemical_formula_sum 'Rb1 Zr2 Al1 Pt1'
_cell_length_a 4.9155
_cell_length_b 4.9155
_cell_length_c 4.8926
_cell_angle_alpha 90.00
_cell_angle_beta 90.00
_cell_angle_gamma 90.00
_symmetry_space_group_name_H-M 'P 4/m m m'
_symmetry_Int_Tables_number 123
_symmetry_space_group_name_Hall '-P 4 2'
loop_
_atom_site_label
_atom_site_type_symbol
_atom_site_fract_x
_atom_site_fract_y
_atom_site_fract_z
_atom_site_occupancy
Rb1 Rb 0.0000 0.0000 0.0000 1
Zr1 Zr 0.0000 0.5000 0.0000 1
Al1 Al 0.5000 0.5000 0.5000 1
Pt1 Pt 0.0000 0.0000 0.5000 1

(5)
# AlRePt2 (meta-GGA SCAN, single point on PBEsol structure)
# Magnetic moment = 1.1 μB per formula unit
# ΔE_f = -0.442 eV per atom
data_AlRePt2
_chemical_formula_sum 'Al1 Re1 Pt2'
_cell_length_a 4.6861
_cell_length_b 4.6861
_cell_length_c 2.7041
_cell_angle_alpha 90.00
_cell_angle_beta 90.00
_cell_angle_gamma 90.00
_symmetry_space_group_name_H-M 'P 4/m m m'
_symmetry_Int_Tables_number 123
_symmetry_space_group_name_Hall '-P 4 2'
loop_
_atom_site_label
_atom_site_type_symbol
_atom_site_fract_x
_atom_site_fract_y
_atom_site_fract_z
_atom_site_occupancy
Al1 Al 0.0000 0.0000 0.0000 1
Re1 Re 0.5000 0.5000 0.0000 1
Pt1 Pt 0.0000 0.5000 0.5000 1

(6)
# AlRe2Pt (meta-GGA SCAN, single point on PBEsol structure)
# Magnetic moment = 0.0 μB per formula unit
# E above lowest polymorph = 118 meV/atom
# ΔE_f = -0.123 eV per atom
data_AlRe2Pt
_chemical_formula_sum 'Al1 Re2 Pt1'
_cell_length_a 2.7957
_cell_length_b 4.0710
_cell_length_c 5.1203
_cell_angle_alpha 90.00
_cell_angle_beta 90.00
_cell_angle_gamma 90.00
_symmetry_space_group_name_H-M 'P m m m'
_symmetry_Int_Tables_number 47
loop_
_symmetry_equiv_pos_as_xyz
'x,y,z'
'-x,-y,-z'
'-x,-y,z'
'x,y,-z'
'x,-y,-z'
'-x,y,z'
'-x,y,-z'
'x,-y,z'
loop_
_atom_site_label
_atom_site_type_symbol
_atom_site_fract_x
_atom_site_fract_y
_atom_site_fract_z
_atom_site_occupancy
Al1 Al 0.0000 0.0000 0.0000 1
Re1 Re 0.5000 0.5000 0.2389 1
Pt1 Pt 0.0000 0.0000 0.5000 1